w) ## PdSN2Cl (GGA-PBE)

Data for a geometry-optimized PdSN2Cl structure.

```
data_PdSN2Cl
_chemical_formula_sum 'Pd1 S1 N2 Cl1'
_space_group_name_H-M_alt 'P 4/m m m'
_space_group_IT_number 123
_space_group_name_Hall '-P 4 2'
_cell_length_a 3.495
_cell_length_b 3.495
_cell_length_c 7.564
_cell_angle_alpha 90.00
_cell_angle_beta 90.00
_cell_angle_gamma 90.00
loop_
_atom_site_label
_atom_site_fract_x
_atom_site_fract_y
_atom_site_fract_z
_atom_site_occupancy
Pd1 0.000 0.000 0.000 1
S1 0.500 0.500 0.000 1
N1 0.000 0.500 0.500 1
Cl1 0.500 0.500 0.500 1
```

Properties
The calculation puts the density of states at the Fermi level at 3.6 states/eV per cell. The value obtained for the total magnetization is 0.0 μB per cell.



x) ## PdSN2Cl (GGA-PBE)

Data for a geometry-optimized PdSN2Cl structure.

```
data_PdSN2Cl
_chemical_formula_sum 'Pd1 S1 N2 Cl1'
_space_group_name_H-M_alt 'P 4/m m m'
_space_group_IT_number 123
_space_group_name_Hall '-P 4 2'
_cell_length_a 3.971
_cell_length_b 3.971
_cell_length_c 5.247
_cell_angle_alpha 90.00
_cell_angle_beta 90.00
_cell_angle_gamma 90.00
loop_
_atom_site_label
_atom_site_fract_x
_atom_site_fract_y
_atom_site_fract_z
_atom_site_occupancy
Pd1 0.000 0.000 0.000 1
S1 0.000 0.000 0.500 1
N1 0.000 0.500 0.000 1
Cl1 0.500 0.500 0.500 1
```

Properties
The calculation puts the density of states at the Fermi level at 2.7 states/eV per cell. The value obtained for the total magnetization is 3.9 μB per cell.



x) has the most favorable energy; the next structure is 51.1 kJ/mol of atoms above.